# 1
Below is an optimized crystal structure of AcLa4Sm3Te8, with properties calculated at the PBE-GGA level.

## Properties
The uncorrected formation energy is -144.1 kJ/mol of atoms. The total moment is 0.00 μB/atom.

```
data_AcLa4Sm3Te8
_chemical_formula_sum 'Ac3 La12 Sm9 Te24'
_symmetry_space_group_name_H-M 'R -3 m'
_symmetry_Int_Tables_number 166
_symmetry_space_group_name_Hall '-R 3 2"'
_cell_length_a 9.1165
_cell_length_b 9.1165
_cell_length_c 22.2570
_cell_angle_alpha 90.00
_cell_angle_beta 90.00
_cell_angle_gamma 120.00
loop_
_atom_site_label
_atom_site_fract_x
_atom_site_fract_y
_atom_site_fract_z
Ac1 0.0000 0.0000 0.0000
La1 0.0000 0.0000 0.5000
La2 0.0000 0.5000 0.5000
Sm1 0.0000 0.5000 0.0000
Te1 0.0000 0.0000 0.2531
Te2 0.0087 0.5043 0.2511
```

=====

# 2
Below is an optimized crystal structure of AcLaSmTe3, with properties calculated at the PBE-GGA level.

## Properties
The uncorrected formation energy is -129.8 kJ/mol of atoms. The total moment is 0.00 μB/atom.

```
data_AcLaSmTe3
_chemical_formula_sum 'Ac2 La2 Sm2 Te6'
_symmetry_space_group_name_H-M 'P 1 21/m 1'
_symmetry_Int_Tables_number 11
_symmetry_space_group_name_Hall '-P 2yb'
_cell_length_a 8.837
_cell_length_b 4.687
_cell_length_c 10.778
_cell_angle_alpha 90.00
_cell_angle_beta 110.83
_cell_angle_gamma 90.00
loop_
_atom_site_label
_atom_site_fract_x
_atom_site_fract_y
_atom_site_fract_z
Ac1 0.190 0.250 0.235
La1 0.352 0.750 0.874
Sm1 0.134 0.250 0.614
Te1 0.101 0.250 0.896
Te2 0.253 0.750 0.483
Te3 0.452 0.750 0.202
```

=====

# 3
Below is an optimized crystal structure of Ac2LaSmTe5, with properties calculated at the PBE-GGA level.

## Properties
The uncorrected formation energy is -98.7 kJ/mol of atoms. The total moment is 0.02 μB/atom.

```
data_Ac2LaSmTe5
_chemical_formula_sum 'Ac2 La1 Sm1 Te5'
_symmetry_space_group_name_H-M 'P 4/m m m'
_symmetry_Int_Tables_number 123
_symmetry_space_group_name_Hall '-P 4 2'
_cell_length_a 5.599
_cell_length_b 5.599
_cell_length_c 11.964
_cell_angle_alpha 90.00
_cell_angle_beta 90.00
_cell_angle_gamma 90.00
loop_
_atom_site_label
_atom_site_fract_x
_atom_site_fract_y
_atom_site_fract_z
Ac1 0.000 0.000 0.190
La1 0.500 0.500 0.500
Sm1 0.500 0.500 0.000
Te1 0.000 0.000 0.500
Te2 0.000 0.500 0.000
Te3 0.500 0.500 0.252
```

=====

# 4
Below is an optimized crystal structure of AcLa3Sm2Te6, with properties calculated at the PBE-GGA level.

## Properties
The uncorrected formation energy is -145.1 kJ/mol of atoms. The total moment is 0.00 μB/atom.

```
data_AcLa3Sm2Te6
_chemical_formula_sum 'Ac2 La6 Sm4 Te12'
_symmetry_space_group_name_H-M 'C 1 2/m 1'
_symmetry_Int_Tables_number 12
_symmetry_space_group_name_Hall '-C 2y'
_cell_length_a 7.888
_cell_length_b 13.731
_cell_length_c 7.899
_cell_angle_alpha 90.00
_cell_angle_beta 109.65
_cell_angle_gamma 90.00
loop_
_atom_site_label
_atom_site_fract_x
_atom_site_fract_y
_atom_site_fract_z
Ac1 0.000 0.000 0.000
La1 0.000 0.160 0.500
La2 0.000 0.500 0.500
Sm1 0.000 0.332 0.000
Te1 0.235 0.500 0.242
Te2 0.244 0.328 0.751
```

=====

# 5
Below is an optimized crystal structure of AcLaSmTh, with properties calculated at the PBE-GGA level.

## Properties
Its energy above the most stable polymorph in this dataset is 0.0 meV/atom. The calculation puts the formation energy at 0.04 eV/atom. The total moment is 0.00 μB/atom.

```
data_AcLaSmTh
_chemical_formula_sum 'Ac1 La1 Sm1 Th1'
_symmetry_space_group_name_H-M 'P 4 m m'
_symmetry_Int_Tables_number 99
_symmetry_space_group_name_Hall 'P 4 -2'
_cell_length_a 3.698
_cell_length_b 3.698
_cell_length_c 10.734
_cell_angle_alpha 90.00
_cell_angle_beta 90.00
_cell_angle_gamma 90.00
loop_
_atom_site_label
_atom_site_fract_x
_atom_site_fract_y
_atom_site_fract_z
Ac1 0.000 0.000 0.000
La1 0.500 0.500 0.719
Sm1 0.500 0.500 0.268
Th1 0.000 0.000 0.492
```

=====

# 6
Below is an optimized crystal structure of AcLa4Sm2Th, with properties calculated at the PBE-GGA level.

## Properties
The calculation puts the formation energy at 0.04 eV/atom. The total moment is 0.00 μB/atom.

```
data_AcLa4Sm2Th
_chemical_formula_sum 'Ac2 La8 Sm4 Th2'
_symmetry_space_group_name_H-M 'C 1 2/m 1'
_symmetry_Int_Tables_number 12
_symmetry_space_group_name_Hall '-C 2y'
_cell_length_a 11.814
_cell_length_b 5.218
_cell_length_c 10.535
_cell_angle_alpha 90.00
_cell_angle_beta 116.50
_cell_angle_gamma 90.00
loop_
_atom_site_label
_atom_site_fract_x
_atom_site_fract_y
_atom_site_fract_z
Ac1 0.000 0.000 0.000
La1 0.244 0.000 0.864
La2 0.245 0.500 0.616
Sm1 0.003 0.500 0.737
Th1 0.000 0.000 0.500
```

=====

Among the records above, which one has the highest total moment? Ac2LaSmTe5

=====

Repeat the sixth record exactly.
Below is an optimized crystal structure of AcLa4Sm2Th, with properties calculated at the PBE-GGA level.

## Properties
The calculation puts the formation energy at 0.04 eV/atom. The total moment is 0.00 μB/atom.

```
data_AcLa4Sm2Th
_chemical_formula_sum 'Ac2 La8 Sm4 Th2'
_symmetry_space_group_name_H-M 'C 1 2/m 1'
_symmetry_Int_Tables_number 12
_symmetry_space_group_name_Hall '-C 2y'
_cell_length_a 11.814
_cell_length_b 5.218
_cell_length_c 10.535
_cell_angle_alpha 90.00
_cell_angle_beta 116.50
_cell_angle_gamma 90.00
loop_
_atom_site_label
_atom_site_fract_x
_atom_site_fract_y
_atom_site_fract_z
Ac1 0.000 0.000 0.000
La1 0.244 0.000 0.864
La2 0.245 0.500 0.616
Sm1 0.003 0.500 0.737
Th1 0.000 0.000 0.500
```